! ZnMo2O, relaxed, DFT PBE with a Hubbard U; values from VASP
&SYSTEM
  ibrav = 0, nat = 4, ntyp = 3
/
ATOMIC_SPECIES
Zn 65.41 Zn.upf
Mo 95.94 Mo.upf
O 16.00 O.upf
ATOMIC_POSITIONS crystal
Zn 0.000 0.000 0.000
Mo 0.250 0.250 0.250
Mo 0.750 0.750 0.750
O 0.500 0.500 0.500
CELL_PARAMETERS angstrom
0.000 2.990 2.990
2.990 0.000 2.990
2.990 2.990 0.000
! Total magnetization ... 0.00 μB per formula unit
! Energy ... -3.976 eV/atom
! Space group ... No. 225